1.
TaSiNO after structural relaxation, computed with GGA-PBE.

Energy above the lowest structure with this stoichiometry, eV/f.u.: 0.234

POSCAR file:
```
TaSiNO
1.0
5.712 0.000 0.000
0.000 6.329 0.000
0.000 0.000 5.314
Ta Si N O
4 4 4 4
Direct
0.019 0.153 0.000
0.481 0.153 0.500
0.519 0.847 0.000
0.981 0.847 0.500
0.049 0.287 0.504
0.451 0.287 0.004
0.549 0.713 0.504
0.951 0.713 0.004
0.172 0.864 0.158
0.328 0.864 0.658
0.672 0.136 0.158
0.828 0.136 0.658
0.001 0.460 0.004
0.499 0.460 0.504
0.501 0.540 0.004
0.999 0.540 0.504
```

2.
Sc2PdO4 after structural relaxation, computed with GGA-PBE.

E_tot, eV per atom: -7.708

POSCAR file:
```
Sc2PdO4
1.0
0.000 4.473 4.473
4.473 0.000 4.473
4.473 4.473 0.000
Sc Pd O
4 2 8
Direct
0.000 0.000 0.000
0.000 0.000 0.500
0.000 0.500 0.000
0.500 0.000 0.000
0.375 0.375 0.375
0.625 0.625 0.625
0.206 0.765 0.765
0.235 0.235 0.235
0.235 0.235 0.794
0.235 0.794 0.235
0.765 0.206 0.765
0.765 0.765 0.206
0.765 0.765 0.765
0.794 0.235 0.235
```

3.
ErBiNO after structural relaxation, computed with GGA-PBE.

Energy above the lowest structure with this stoichiometry, eV/f.u.: 0.486

POSCAR file:
```
ErBiNO
1.0
4.471 0.000 0.000
0.000 4.471 0.000
0.000 0.000 7.867
Er Bi N O
2 2 2 2
Direct
0.250 0.250 0.086
0.750 0.750 0.914
0.250 0.750 0.500
0.750 0.250 0.500
0.250 0.250 0.362
0.750 0.750 0.638
0.250 0.750 0.000
0.750 0.250 0.000
```

4.
LaPrAg4Sn2 after structural relaxation, computed with GGA-PBE.

E_tot, eV per atom: -4.035

POSCAR file:
```
LaPrAg4Sn2
1.0
4.827 0.000 0.000
-2.413 4.180 0.000
0.000 0.000 9.529
La Pr Ag Sn
1 1 4 2
Direct
0.000 0.000 0.000
0.333 0.667 0.500
0.000 0.000 0.346
0.000 0.000 0.654
0.333 0.667 0.155
0.333 0.667 0.845
0.667 0.333 0.251
0.667 0.333 0.749
```

5.
PrZnGa after structural relaxation, computed with GGA-PBE.

E_tot, eV per atom: -3.430

POSCAR file:
```
PrZnGa
1.0
0.000 3.290 3.290
3.290 0.000 3.290
3.290 3.290 0.000
Pr Zn Ga
1 1 1
Direct
0.000 0.000 0.000
0.750 0.750 0.750
0.500 0.500 0.500
```

6.
SbPt17 after structural relaxation, computed with GGA-PBE.

Energy above the lowest structure with this stoichiometry, eV/f.u.: 0.141

POSCAR file:
```
SbPt17
1.0
4.794 0.000 0.000
0.000 5.572 0.000
-0.080 0.000 31.327
Sb Pt
2 34
Direct
0.190 0.250 0.302
0.810 0.750 0.698
0.000 0.000 0.000
0.000 0.500 0.000
0.005 0.001 0.222
0.005 0.499 0.222
0.165 0.750 0.074
0.166 0.250 0.074
0.169 0.250 0.852
0.170 0.750 0.852
0.192 0.750 0.298
0.309 0.007 0.702
0.309 0.493 0.702
0.331 0.001 0.148
0.331 0.499 0.148
0.335 0.000 0.926
0.335 0.500 0.926
0.494 0.250 0.778
0.498 0.750 0.776
0.500 0.250 0.000
0.500 0.750 0.000
0.502 0.250 0.224
0.506 0.750 0.222
0.665 0.000 0.074
0.665 0.500 0.074
0.669 0.501 0.852
0.669 0.999 0.852
0.691 0.507 0.298
0.691 0.993 0.298
0.808 0.250 0.702
0.830 0.250 0.148
0.831 0.750 0.148
0.834 0.750 0.926
0.835 0.250 0.926
0.995 0.501 0.778
0.995 0.999 0.778
```

7.
Er3Mg3IrPt2 after structural relaxation, computed with GGA-PBE.

E_tot, eV per atom: -5.248

POSCAR file:
```
Er3Mg3IrPt2
1.0
7.257 0.000 0.000
-3.629 6.285 0.000
0.000 0.000 4.084
Er Mg Ir Pt
3 3 1 2
Direct
0.000 0.595 0.000
0.405 0.405 0.000
0.595 0.000 0.000
0.000 0.244 0.500
0.244 0.000 0.500
0.756 0.756 0.500
0.000 0.000 0.000
0.333 0.667 0.500
0.667 0.333 0.500
```

8.
Al2PtN6 after structural relaxation, computed with GGA-PBE.

E_tot, eV per atom: -5.839

POSCAR file:
```
Al2PtN6
1.0
5.448 0.000 0.000
-2.724 4.718 0.000
0.000 0.000 3.066
Al Pt N
2 1 6
Direct
0.333 0.667 0.000
0.667 0.333 0.000
0.000 0.000 0.500
0.000 0.278 0.000
0.000 0.588 0.500
0.278 0.000 0.000
0.412 0.412 0.500
0.588 0.000 0.500
0.722 0.722 0.000
```

9.
Tc2Ag2O5 after structural relaxation, computed with GGA-PBE.

Energy above the lowest structure with this stoichiometry, eV/f.u.: 4.294

POSCAR file:
```
Tc2Ag2O5
1.0
3.317 0.000 0.000
0.000 3.317 0.000
0.000 0.000 10.159
Tc Ag O
2 2 5
Direct
0.000 0.000 0.000
0.000 0.000 0.500
0.500 0.500 0.222
0.500 0.500 0.778
0.000 0.500 0.385
0.000 0.500 0.615
0.500 0.000 0.385
0.500 0.000 0.615
0.500 0.500 0.000
```

10.
Hg4O5 after structural relaxation, computed with GGA-PBE.

E_tot, eV per atom: -2.665

POSCAR file:
```
Hg4O5
1.0
4.048 0.000 0.000
0.000 4.048 0.000
0.000 0.000 8.635
Hg O
4 5
Direct
0.000 0.000 0.000
0.000 0.000 0.500
0.500 0.500 0.234
0.500 0.500 0.766
0.000 0.500 0.165
0.000 0.500 0.835
0.500 0.000 0.165
0.500 0.000 0.835
0.500 0.500 0.500
```

11.
TcIrPd after structural relaxation, computed with GGA-PBE.

Energy above the lowest structure with this stoichiometry, eV/f.u.: 0.000
DFT formation energy, meV per atom: 543

POSCAR file:
```
TcIrPd
1.0
0.000 2.968 2.968
2.968 0.000 2.968
2.968 2.968 0.000
Tc Ir Pd
1 1 1
Direct
0.000 0.000 0.000
0.750 0.750 0.750
0.250 0.250 0.250
```

12.
SrZnAs2 after structural relaxation, computed with GGA-PBE.

E_tot, eV per atom: -3.181

POSCAR file:
```
SrZnAs2
1.0
0.000 3.592 3.592
3.592 0.000 3.592
3.592 3.592 0.000
Sr Zn As
1 1 2
Direct
0.000 0.000 0.000
0.250 0.250 0.250
0.500 0.500 0.500
0.750 0.750 0.750
```